# K2NaUCl8 | Alexandria | PBE | relaxed
# Formation energy (no corrections) in eV per atom: -1.75
data_K2NaUCl8
_symmetry_space_group_name_H-M 'P -1'
_symmetry_Int_Tables_number 2
_cell_length_a 6.6394
_cell_length_b 7.0700
_cell_length_c 9.5384
_cell_angle_alpha 89.90
_cell_angle_beta 89.91
_cell_angle_gamma 84.53
loop_
_symmetry_equiv_pos_as_xyz
'x,y,z'
'-x,-y,-z'
loop_
_atom_site_label
_atom_site_type_symbol
_atom_site_fract_x
_atom_site_fract_y
_atom_site_fract_z
K1 K 0.0016 0.0000 0.2229
Na1 Na 0.5000 0.5000 0.0000
U1 U 0.5000 0.5000 0.5000
Cl1 Cl 0.2322 0.7840 0.9993
Cl2 Cl 0.2594 0.8043 0.5004
Cl3 Cl 0.2904 0.3631 0.3115
Cl4 Cl 0.2907 0.3620 0.6889